{"formula": "CsRbSr2Au", "functional": "PBE-GGA", "state": "optimized geometry", "delta_e_f_ev_per_atom": -0.1820, "total_energy_ev_per_atom": -1.8745, "polymorph_energy_mev_per_atom": 7, "cell": [[6.305, 0.000, 0.000], [0.000, 6.305, 0.000], [0.000, 0.000, 7.212]], "species": ["Cs", "Rb", "Sr", "Sr", "Au"], "frac_coords": [[0.000, 0.000, 0.000], [0.500, 0.500, 0.000], [0.000, 0.500, 0.500], [0.500, 0.000, 0.500], [0.500, 0.500, 0.500]]}

{"formula": "Cr4GaS8", "functional": "PBE-GGA", "state": "optimized geometry", "total_energy_ev_per_atom": -6.4166, "cell": [[0.000, 4.726, 4.726], [4.726, 0.000, 4.726], [4.726, 4.726, 0.000]], "species": ["Cr", "Cr", "Cr", "Cr", "Ga", "S", "S", "S", "S", "S", "S", "S", "S"], "frac_coords": [[0.102, 0.102, 0.102], [0.102, 0.102, 0.695], [0.102, 0.695, 0.102], [0.695, 0.102, 0.102], [0.500, 0.500, 0.500], [0.361, 0.361, 0.361], [0.361, 0.361, 0.917], [0.361, 0.917, 0.361], [0.389, 0.870, 0.870], [0.870, 0.389, 0.870], [0.870, 0.870, 0.389], [0.870, 0.870, 0.870], [0.917, 0.361, 0.361]]}

{"formula": "YNpC2", "functional": "PBE-GGA", "state": "optimized geometry", "delta_e_f_ev_per_atom": -0.0753, "total_energy_ev_per_atom": -9.5384, "cell": [[1.779, 1.027, 5.731], [-1.779, 1.027, 5.731], [0.000, -2.054, 5.731]], "species": ["Y", "Np", "C", "C"], "frac_coords": [[0.000, 0.000, 0.000], [0.500, 0.500, 0.500], [0.238, 0.238, 0.238], [0.762, 0.762, 0.762]]}

{"formula": "RuPtBr2", "functional": "PBE-GGA", "state": "optimized geometry", "total_energy_ev_per_atom": -4.3408, "polymorph_energy_mev_per_atom": 170, "cell": [[6.503, -1.736, 0.000], [6.503, 1.736, 0.000], [-0.768, 0.000, 4.506]], "species": ["Ru", "Pt", "Br", "Br"], "frac_coords": [[0.000, 0.000, 0.000], [0.500, 0.500, 0.500], [0.366, 0.366, 0.811], [0.634, 0.634, 0.189]]}

{"formula": "Ga4Mo", "functional": "PBE-GGA", "state": "optimized geometry", "delta_e_f_ev_per_atom": 0.3668, "total_energy_ev_per_atom": -4.2209, "polymorph_energy_mev_per_atom": 544, "cell": [[4.933, 0.000, 0.000], [0.000, 4.933, 0.000], [0.000, 0.000, 4.933]], "species": ["Ga", "Ga", "Ga", "Ga", "Mo"], "frac_coords": [[0.000, 0.000, 0.000], [0.000, 0.500, 0.500], [0.500, 0.000, 0.500], [0.500, 0.500, 0.000], [0.500, 0.500, 0.500]]}

{"formula": "Co3MoP", "functional": "PBE-GGA", "state": "optimized geometry", "delta_e_f_ev_per_atom": 1.6508, "total_energy_ev_per_atom": -5.8609, "polymorph_energy_mev_per_atom": 1167, "cell": [[4.390, 0.000, 0.000], [0.000, 4.390, 0.000], [0.000, 0.000, 4.390]], "species": ["Co", "Co", "Co", "Mo", "P"], "frac_coords": [[0.000, 0.000, 0.500], [0.000, 0.500, 0.000], [0.500, 0.000, 0.000], [0.000, 0.000, 0.000], [0.500, 0.500, 0.500]]}

{"formula": "RbCdAgTe2", "functional": "PBE-GGA", "state": "optimized geometry", "total_energy_ev_per_atom": -2.7457, "cell": [[3.382, -7.665, 0.000], [3.382, 7.665, 0.000], [0.000, 0.000, 7.048]], "species": ["Rb", "Rb", "Cd", "Cd", "Ag", "Ag", "Te", "Te", "Te", "Te"], "frac_coords": [[0.250, 0.750, 0.755], [0.750, 0.250, 0.245], [0.250, 0.250, 0.500], [0.750, 0.750, 0.500], [0.000, 0.000, 0.000], [0.500, 0.500, 0.000], [0.117, 0.883, 0.279], [0.383, 0.617, 0.279], [0.617, 0.383, 0.721], [0.883, 0.117, 0.721]]}

{"formula": "ZnInNi2", "functional": "PBE-GGA", "state": "optimized geometry", "delta_e_f_ev_per_atom": -0.1366, "total_energy_ev_per_atom": -4.0303, "cell": [[2.984, 0.000, 0.000], [0.000, 3.101, 0.000], [0.000, 0.000, 6.013]], "species": ["Zn", "In", "Ni", "Ni"], "frac_coords": [[0.000, 0.000, 0.000], [0.000, 0.000, 0.500], [0.500, 0.500, 0.225], [0.500, 0.500, 0.775]]}